# 1
# Li2Th2Pt3, relaxed, DFT PBE
data_Li2Th2Pt3
_chemical_formula_sum 'Li2 Th2 Pt3'
_cell_length_a 4.221
_cell_length_b 5.477
_cell_length_c 7.240
_cell_angle_alpha 83.75
_cell_angle_beta 73.07
_cell_angle_gamma 89.89
_symmetry_space_group_name_H-M 'P 1'
_symmetry_Int_Tables_number 1
loop_
_symmetry_equiv_pos_as_xyz
'x,y,z'
loop_
_atom_site_label
_atom_site_fract_x
_atom_site_fract_y
_atom_site_fract_z
Li1 0.100 0.101 0.300
Li2 0.900 0.899 0.700
Th1 0.358 0.389 0.785
Th2 0.642 0.611 0.215
Pt1 0.000 0.500 0.500
Pt2 0.268 0.838 0.965
Pt3 0.732 0.162 0.035
# Excess energy over the best structure of this formula in the dataset: 0 kJ/mol of formula units
# E_form: -0.90 eV/atom
# Calculated total energy: -6.1539 eV per atom

# 2
# Li2ThPt5, relaxed, DFT PBE
data_Li2ThPt5
_chemical_formula_sum 'Li2 Th1 Pt5'
_cell_length_a 7.750
_cell_length_b 7.750
_cell_length_c 7.750
_cell_angle_alpha 148.24
_cell_angle_beta 148.24
_cell_angle_gamma 45.53
_symmetry_space_group_name_H-M 'P 1'
_symmetry_Int_Tables_number 1
loop_
_symmetry_equiv_pos_as_xyz
'x,y,z'
loop_
_atom_site_label
_atom_site_fract_x
_atom_site_fract_y
_atom_site_fract_z
Li1 0.250 0.250 0.000
Li2 0.750 0.750 0.000
Th1 0.000 0.000 0.000
Pt1 0.144 0.644 0.500
Pt2 0.356 0.856 0.500
Pt3 0.500 0.500 0.000
Pt4 0.644 0.144 0.500
Pt5 0.856 0.356 0.500
# E_form: -0.80 eV/atom
# Calculated total energy: -5.9826 eV per atom

# 3
# LiThPt2, relaxed, DFT PBE
data_LiThPt2
_chemical_formula_sum 'Li4 Th4 Pt8'
_cell_length_a 7.286
_cell_length_b 7.046
_cell_length_c 5.827
_cell_angle_alpha 90.00
_cell_angle_beta 90.00
_cell_angle_gamma 90.00
_symmetry_space_group_name_H-M 'P 1'
_symmetry_Int_Tables_number 1
loop_
_symmetry_equiv_pos_as_xyz
'x,y,z'
loop_
_atom_site_label
_atom_site_fract_x
_atom_site_fract_y
_atom_site_fract_z
Li1 0.105 0.250 0.158
Li2 0.395 0.750 0.658
Li3 0.605 0.250 0.342
Li4 0.895 0.750 0.842
Th1 0.027 0.750 0.347
Th2 0.473 0.250 0.847
Th3 0.527 0.750 0.153
Th4 0.973 0.250 0.653
Pt1 0.195 0.544 0.923
Pt2 0.195 0.956 0.923
Pt3 0.305 0.044 0.423
Pt4 0.305 0.456 0.423
Pt5 0.695 0.544 0.577
Pt6 0.695 0.956 0.577
Pt7 0.805 0.044 0.077
Pt8 0.805 0.456 0.077
# E_form: -0.96 eV/atom
# Calculated total energy: -6.3167 eV per atom

# 4
# Li2Th2Pt3, relaxed, DFT PBE
data_Li2Th2Pt3
_chemical_formula_sum 'Li4 Th4 Pt6'
_cell_length_a 7.719
_cell_length_b 7.719
_cell_length_c 12.009
_cell_angle_alpha 120.66
_cell_angle_beta 120.66
_cell_angle_gamma 29.94
_symmetry_space_group_name_H-M 'P 1'
_symmetry_Int_Tables_number 1
loop_
_symmetry_equiv_pos_as_xyz
'x,y,z'
loop_
_atom_site_label
_atom_site_fract_x
_atom_site_fract_y
_atom_site_fract_z
Li1 0.040 0.040 0.326
Li2 0.418 0.418 0.341
Li3 0.582 0.582 0.659
Li4 0.960 0.960 0.674
Th1 0.271 0.271 0.663
Th2 0.388 0.388 0.041
Th3 0.612 0.612 0.959
Th4 0.729 0.729 0.337
Pt1 0.083 0.083 0.136
Pt2 0.168 0.168 0.827
Pt3 0.372 0.372 0.516
Pt4 0.628 0.628 0.484
Pt5 0.832 0.832 0.173
Pt6 0.917 0.917 0.864
# Excess energy over the best structure of this formula in the dataset: 21 kJ/mol of formula units
# E_form: -0.87 eV/atom
# Calculated total energy: -6.1233 eV per atom

# 5
# LiThPt4, relaxed, DFT PBE
data_LiThPt4
_chemical_formula_sum 'Li1 Th1 Pt4'
_cell_length_a 5.400
_cell_length_b 5.400
_cell_length_c 5.400
_cell_angle_alpha 60.00
_cell_angle_beta 60.00
_cell_angle_gamma 60.00
_symmetry_space_group_name_H-M 'P 1'
_symmetry_Int_Tables_number 1
loop_
_symmetry_equiv_pos_as_xyz
'x,y,z'
loop_
_atom_site_label
_atom_site_fract_x
_atom_site_fract_y
_atom_site_fract_z
Li1 0.000 0.000 0.000
Th1 0.750 0.750 0.750
Pt1 0.374 0.374 0.374
Pt2 0.374 0.374 0.877
Pt3 0.374 0.877 0.374
Pt4 0.877 0.374 0.374
# E_form: -0.95 eV/atom
# Calculated total energy: -6.5318 eV per atom

# 6
# LiThPt2, relaxed, DFT PBE
data_LiThPt2
_chemical_formula_sum 'Li1 Th1 Pt2'
_cell_length_a 3.504
_cell_length_b 3.504
_cell_length_c 6.335
_cell_angle_alpha 90.00
_cell_angle_beta 90.00
_cell_angle_gamma 90.00
_symmetry_space_group_name_H-M 'P 1'
_symmetry_Int_Tables_number 1
loop_
_symmetry_equiv_pos_as_xyz
'x,y,z'
loop_
_atom_site_label
_atom_site_fract_x
_atom_site_fract_y
_atom_site_fract_z
Li1 0.000 0.000 0.000
Th1 0.000 0.000 0.500
Pt1 0.500 0.500 0.221
Pt2 0.500 0.500 0.779
# E_form: -0.89 eV/atom
# Calculated total energy: -6.2460 eV per atom

# 7
# LiThPt2, relaxed, DFT PBE
data_LiThPt2
_chemical_formula_sum 'Li1 Th1 Pt2'
_cell_length_a 5.450
_cell_length_b 5.450
_cell_length_c 5.450
_cell_angle_alpha 46.89
_cell_angle_beta 46.89
_cell_angle_gamma 46.89
_symmetry_space_group_name_H-M 'P 1'
_symmetry_Int_Tables_number 1
loop_
_symmetry_equiv_pos_as_xyz
'x,y,z'
loop_
_atom_site_label
_atom_site_fract_x
_atom_site_fract_y
_atom_site_fract_z
Li1 0.000 0.000 0.000
Th1 0.500 0.500 0.500
Pt1 0.281 0.281 0.281
Pt2 0.719 0.719 0.719
# E_form: -1.01 eV/atom
# Calculated total energy: -6.3593 eV per atom

# 8
# Li4ThPt2, relaxed, DFT PBE
data_Li4ThPt2
_chemical_formula_sum 'Li8 Th2 Pt4'
_cell_length_a 7.706
_cell_length_b 7.706
_cell_length_c 4.126
_cell_angle_alpha 90.00
_cell_angle_beta 90.00
_cell_angle_gamma 90.00
_symmetry_space_group_name_H-M 'P 1'
_symmetry_Int_Tables_number 1
loop_
_symmetry_equiv_pos_as_xyz
'x,y,z'
loop_
_atom_site_label
_atom_site_fract_x
_atom_site_fract_y
_atom_site_fract_z
Li1 0.101 0.353 0.000
Li2 0.147 0.601 0.500
Li3 0.353 0.101 0.000
Li4 0.399 0.853 0.500
Li5 0.601 0.147 0.500
Li6 0.647 0.899 0.000
Li7 0.853 0.399 0.500
Li8 0.899 0.647 0.000
Th1 0.000 0.000 0.500
Th2 0.500 0.500 0.000
Pt1 0.196 0.804 0.000
Pt2 0.304 0.304 0.500
Pt3 0.696 0.696 0.500
Pt4 0.804 0.196 0.000
# E_form: -0.62 eV/atom
# Calculated total energy: -4.4998 eV per atom